(1)
La4Tl2Ge: relaxed, GGA-PBE.

Results
Raw total energy = -4.562 eV per atom
Space-group type = No. 65
D(E_F) = 6.09 states/eV/cell

a b c (Å): 6.694 6.694 5.620
angles (deg): 90.00 90.00 113.01
Positions (direct):
La 0.000 0.500 0.500
La 0.219 0.219 0.000
La 0.500 0.000 0.500
La 0.781 0.781 0.000
Tl 0.275 0.725 0.000
Tl 0.725 0.275 0.000
Ge 0.000 0.000 0.500

(2)
LaTlGe2: relaxed, GGA-PBE.

Results
Raw total energy = -4.303 eV per atom
Space-group type = No. 122
D(E_F) = 1.45 states/eV/cell

a b c (Å): 6.548 6.548 6.548
angles (deg): 104.89 104.89 119.08
Positions (direct):
La 0.000 0.000 0.000
La 0.750 0.250 0.500
Tl 0.250 0.750 0.500
Tl 0.500 0.500 0.000
Ge 0.155 0.625 0.030
Ge 0.375 0.405 0.530
Ge 0.595 0.125 0.970
Ge 0.875 0.845 0.470

(3)
LaTl3Ge: relaxed, GGA-PBE.

Results
Space-group type = No. 221
Energy relative to the lowest polymorph listed for this composition = 633 meV/atom
D(E_F) = 3.15 states/eV/cell

a b c (Å): 6.063 6.063 6.063
angles (deg): 90.00 90.00 90.00
Positions (direct):
La 0.000 0.000 0.000
Tl 0.000 0.000 0.500
Tl 0.000 0.500 0.000
Tl 0.500 0.000 0.000
Ge 0.500 0.500 0.500

(4)
LaTlGe3: relaxed, GGA-PBE.

Results
Space-group type = No. 221
Energy relative to the lowest polymorph listed for this composition = 0 meV/atom
D(E_F) = 4.68 states/eV/cell

a b c (Å): 5.283 5.283 5.283
angles (deg): 90.00 90.00 90.00
Positions (direct):
La 0.000 0.000 0.000
Tl 0.500 0.500 0.500
Ge 0.000 0.500 0.500
Ge 0.500 0.000 0.500
Ge 0.500 0.500 0.000